1.
# PmY3Er4S8

PmY3Er4S8 after structural relaxation (PBE, Alexandria via LeMat-Bulk).

CIF file:
```
data_PmY3Er4S8
_cell_length_a 7.8027
_cell_length_b 7.8027
_cell_length_c 19.2081
_cell_angle_alpha 90.00
_cell_angle_beta 90.00
_cell_angle_gamma 120.00
_symmetry_space_group_name_H-M 'R -3 m'
_symmetry_Int_Tables_number 166
_symmetry_space_group_name_Hall '-R 3 2"'
loop_
_atom_site_label
_atom_site_type_symbol
_atom_site_fract_x
_atom_site_fract_y
_atom_site_fract_z
Pm1 Pm 0.0000 0.0000 0.0000
Y1 Y 0.0000 0.5000 0.0000
Er1 Er 0.0000 0.0000 0.5000
Er2 Er 0.0000 0.5000 0.5000
S1 S 0.0000 0.0000 0.2481
S2 S 0.0047 0.5024 0.2469
```

Computed properties:
Volume in Å³ per atom: 21.098
Crystal system: trigonal



2.
# PmEr2Sb

PmEr2Sb after structural relaxation (PBE, Alexandria via LeMat-Bulk).

CIF file:
```
data_PmEr2Sb
_cell_length_a 3.9882
_cell_length_b 3.9882
_cell_length_c 28.5761
_cell_angle_alpha 90.00
_cell_angle_beta 90.00
_cell_angle_gamma 120.00
_symmetry_space_group_name_H-M 'R 3 m'
_symmetry_Int_Tables_number 160
_symmetry_space_group_name_Hall 'R 3 -2"'
loop_
_atom_site_label
_atom_site_type_symbol
_atom_site_fract_x
_atom_site_fract_y
_atom_site_fract_z
Pm1 Pm 0.0000 0.0000 0.0000
Er1 Er 0.0000 0.0000 0.2344
Er2 Er 0.0000 0.0000 0.4337
Sb1 Sb 0.0000 0.0000 0.8345
```

Computed properties:
Volume in Å³ per atom: 32.803
Crystal system: trigonal
E above lowest polymorph in eV/atom: 0.234



3.
# PmErSb

PmErSb after structural relaxation (PBE, Alexandria via LeMat-Bulk).

CIF file:
```
data_PmErSb
_cell_length_a 10.255
_cell_length_b 4.273
_cell_length_c 8.619
_cell_angle_alpha 90.00
_cell_angle_beta 107.17
_cell_angle_gamma 90.00
_symmetry_space_group_name_H-M 'C 1 2/m 1'
_symmetry_Int_Tables_number 12
_symmetry_space_group_name_Hall '-C 2y'
loop_
_atom_site_label
_atom_site_type_symbol
_atom_site_fract_x
_atom_site_fract_y
_atom_site_fract_z
Pm1 Pm 0.171 0.000 0.122
Er1 Er 0.118 0.500 0.420
Sb1 Sb 0.109 0.000 0.714
```

Computed properties:
Volume in Å³ per atom: 30.067
Crystal system: monoclinic
E above lowest polymorph in eV/atom: 0.286



| no. | formation energy (no corrections) (meV/atom) | E_tot (eV/atom) |
| --- | --- | --- |
| 1 | -1976 | -6.689 |
| 2 | -320 | -4.820 |
| 3 | -533 | -5.012 |